A relaxed structure of Ba5Na2Ge2, computed with GGA-PBE.

Lattice parameters (Å, degrees): 11.3629 11.3629 8.7840 90.00 90.00 45.55
Closest atoms and distances in Å follow each position.
Element x y z (fractional)
Ba 0.0000 0.0000 0.0000  4 Ge 3.57-3.58, 8 Ba 3.99
Ba 0.0665 0.7111 0.6774  3 Ge 3.48-3.54
Ba 0.2111 0.5665 0.1774  3 Ge 3.48-3.54
Ba 0.2889 0.9335 0.6774  3 Ge 3.48-3.54
Ba 0.4335 0.7889 0.1774  3 Ge 3.48-3.54
Ba 0.5000 0.5000 0.5000  4 Ge 3.57-3.58, 8 Ba 3.99
Ba 0.5665 0.2111 0.8226  3 Ge 3.48-3.54
Ba 0.7111 0.0665 0.3226  3 Ge 3.48-3.54
Ba 0.7889 0.4335 0.8226  3 Ge 3.48-3.54
Ba 0.9335 0.2889 0.3226  3 Ge 3.48-3.54
Na 0.2268 0.2268 0.0000  6 Ba 4.04-4.05, 4 Na 4.50
Na 0.2732 0.2732 0.5000  6 Ba 4.04-4.05, 4 Na 4.50
Na 0.7268 0.7268 0.5000  6 Ba 4.04-4.05, 4 Na 4.50
Na 0.7732 0.7732 0.0000  6 Ba 4.04-4.05, 4 Na 4.50
Ge 0.1079 0.8921 0.3917  1 Ge 2.69
Ge 0.3921 0.6079 0.8917  1 Ge 2.69
Ge 0.6079 0.3921 0.1083  1 Ge 2.69
Ge 0.8921 0.1079 0.6083  1 Ge 2.69

Output
VASP energy   -2.66 eV/atom
Space group   Cmce (64)
Crystal system   orthorhombic
Magnetization   0.00 μB/cell

---

A relaxed structure of Pm3Sc2Zn3, computed with GGA-PBE.

Lattice parameters (Å, degrees): 11.0165 11.0165 11.0165 161.36 152.77 33.21
Closest atoms and distances in Å follow each position.
Element x y z (fractional)
Pm 0.0000 0.0000 0.0000  8 Zn 3.15-3.22
Pm 0.3770 0.8770 0.5000  6 Zn 3.15, 4 Sc 3.49-3.52
Pm 0.6230 0.1230 0.5000  6 Zn 3.15, 4 Sc 3.49-3.52
Sc 0.2332 0.2332 0.0000  2 Zn 2.87
Sc 0.7668 0.7668 0.0000  2 Zn 2.87
Zn 0.1268 0.6268 0.5000  2 Sc 2.87, 4 Pm 3.15
Zn 0.5000 0.5000 0.0000  8 Pm 3.15
Zn 0.8732 0.3732 0.5000  2 Sc 2.87, 4 Pm 3.15

Output
VASP energy   -4.07 eV/atom
Space group   Immm (71)
Crystal system   orthorhombic
Magnetization   0.00 μB/cell

---

A relaxed structure of BaGaSbI2, computed with GGA-PBE.

Lattice parameters (Å, degrees): 6.6713 6.6713 6.9193 90.00 90.00 90.00
Closest atoms and distances in Å follow each position.
Element x y z (fractional)
Ba 0.0000 0.0000 0.0000  4 I 3.34, 2 Sb 3.46
Ga 0.5000 0.5000 0.5000  4 Sb 4.72, 8 I 4.81
Sb 0.0000 0.0000 0.5000  2 Ba 3.46
I 0.0000 0.5000 0.0000  2 Ba 3.34
I 0.5000 0.0000 0.0000  2 Ba 3.34

Output
E above lowest polymorph   0.370 eV per atom
Space group   P4/mmm (123)
Crystal system   tetragonal
Magnetization   2.00 μB/cell
Formation energy (no corrections)   -215 meV per atom